# 1
{
  "formula": "SrBeP2",
  "functional": "SCAN",
  "state": "PBEsol geometry",
  "mass_density_g_cm3": 3.09,
  "delta_e_f_kcal_per_mol_atoms": -9.51,
  "energy_ev_per_atom": -12.269,
  "cell": [[-3.2899, -1.0487, -1.1314], [1.4251, -4.3675, -0.0956], [-0.0647, 0.6322, 5.4372]],
  "species": ["P", "P", "Sr", "Be"],
  "frac_coords": [[0.7220, 0.0664, 0.4439], [0.9394, 0.9761, 0.8788], [0.5295, 0.5052, 0.0591], [0.3091, 0.9523, 0.6183]]
}

# 2
{
  "formula": "SrBe2P2",
  "functional": "SCAN",
  "state": "PBEsol geometry",
  "mass_density_g_cm3": 3.40,
  "delta_e_f_kcal_per_mol_atoms": -19.34,
  "energy_ev_per_atom": -11.195,
  "cell": [[3.6485, 0.0000, 0.0000], [0.0000, 3.6485, 0.0000], [-1.8242, -1.8242, 6.1526]],
  "species": ["P", "P", "Sr", "Be", "Be"],
  "frac_coords": [[0.6471, 0.6471, 0.2943], [0.3529, 0.3529, 0.7057], [0.0000, 0.0000, 0.0000], [0.7500, 0.2500, 0.5000], [0.2500, 0.7500, 0.5000]]
}

# 3
{
  "formula": "SrBeP2",
  "functional": "SCAN",
  "state": "PBEsol geometry",
  "mass_density_g_cm3": 3.49,
  "delta_e_f_kcal_per_mol_atoms": 1.60,
  "energy_ev_per_atom": -11.787,
  "cell": [[3.2938, 0.0000, 0.0000], [0.0000, 5.1155, 0.0000], [-1.6469, -2.5577, 4.4836]],
  "species": ["Sr", "P", "P", "Be"],
  "frac_coords": [[0.4993, 0.4993, 0.9985], [0.9912, 0.9912, 0.9824], [0.6892, 0.1892, 0.3785], [0.3203, 0.8203, 0.6406]]
}